Entry 1:
Compound: BaCd2Mo
Source: Alexandria
Functional: PBEsol
Structure: optimized geometry

SG = P4/mmm
crystal system = tetragonal
energy of formation from the pure elements = 0.7837 eV per atom

abc: 4.5506 4.6373 4.6373
angles: 90.00 90.00 90.00
Last column: nearest neighbours and their distance in Å.
Atoms (fractional coordinates):
Cd  0.0000  0.5000  0.0000  4 Mo 3.25, 4 Ba 3.25, 4 Cd 3.28
Cd  0.0000  0.0000  0.5000  4 Ba 3.25, 4 Mo 3.25, 4 Cd 3.28
Mo  0.5000  0.5000  0.5000  8 Cd 3.25, 4 Ba 3.28
Ba  0.5000  0.0000  0.0000  8 Cd 3.25, 4 Mo 3.28

---

Entry 2:
Compound: Be2InI
Source: Alexandria
Functional: PBEsol
Structure: optimized geometry

uncorrected formation energy = 1.01 eV per atom
SG = Fm-3m
crystal system = cubic

abc: 4.7641 4.7641 4.7641
angles: 60.00 60.00 60.00
Last column: nearest neighbours and their distance in Å.
Atoms (fractional coordinates):
In  0.0000  0.0000  0.0000  8 Be 2.92
I  0.5000  0.5000  0.5000  8 Be 2.92
Be  0.7500  0.7500  0.7500  4 I 2.92, 4 In 2.92
Be  0.2500  0.2500  0.2500  4 In 2.92, 4 I 2.92

---

Entry 3:
Compound: KAsO3
Source: Alexandria
Functional: PBEsol
Structure: optimized geometry

uncorrected formation energy = -1.51 eV per atom
SG = P2_1/c
crystal system = monoclinic

abc: 4.7402 10.4596 14.7202
angles: 101.23 90.00 90.00
Last column: nearest neighbours and their distance in Å.
Atoms (fractional coordinates):
O  0.6522  0.7276  0.0506  2 As 1.80
O  0.7790  0.2348  0.0624  1 As 1.66
O  0.6506  0.3339  0.3944  2 As 1.79-1.81
O  0.7210  0.2348  0.5624  1 As 1.66
O  0.2689  0.9341  0.1201  1 As 1.66
O  0.7805  0.5365  0.6689  1 As 1.66
O  0.8494  0.3339  0.8944  2 As 1.79-1.81
O  0.1506  0.6661  0.1056  2 As 1.79-1.81
O  0.3494  0.6661  0.6056  2 As 1.79-1.81
O  0.2749  0.1905  0.2575  1 As 1.67
O  0.7689  0.0659  0.3799  1 As 1.66
O  0.1522  0.2724  0.4494  2 As 1.80
O  0.7749  0.8095  0.2425  1 As 1.67
O  0.2805  0.4635  0.8311  1 As 1.66
O  0.8478  0.7276  0.5506  2 As 1.80
O  0.7195  0.5365  0.1689  1 As 1.66
O  0.2790  0.7652  0.4376  1 As 1.66
O  0.2311  0.9341  0.6201  1 As 1.66
O  0.2195  0.4635  0.3311  1 As 1.66
O  0.7311  0.0659  0.8799  1 As 1.66
O  0.7251  0.8095  0.7425  1 As 1.67
O  0.2210  0.7652  0.9376  1 As 1.66
O  0.3478  0.2724  0.9494  2 As 1.80
O  0.2251  0.1905  0.7575  1 As 1.67
As  0.3011  0.3151  0.3469  4 O 1.66-1.80
As  0.7015  0.2100  0.9505  4 O 1.66-1.81
As  0.6989  0.6849  0.6531  4 O 1.66-1.80
As  0.2015  0.7900  0.5495  4 O 1.66-1.81
As  0.7985  0.2100  0.4505  4 O 1.66-1.81
As  0.1989  0.3151  0.8469  4 O 1.66-1.80
As  0.2985  0.7900  0.0495  4 O 1.66-1.81
As  0.8011  0.6849  0.1531  4 O 1.66-1.80
K  0.2686  0.3926  0.6338  7 O 2.75-3.05
K  0.2752  0.9333  0.3213  6 O 2.68-2.96
K  0.7686  0.6074  0.8662  7 O 2.75-3.05
K  0.2314  0.3926  0.1338  7 O 2.75-3.05
K  0.7248  0.0667  0.6787  6 O 2.68-2.96
K  0.2248  0.9333  0.8213  6 O 2.68-2.96
K  0.7752  0.0667  0.1787  6 O 2.68-2.96
K  0.7314  0.6074  0.3662  7 O 2.75-3.05